Compound: CrFeAu2
Source: Alexandria
Functional: GGA-PBE
Structure: optimized geometry

Computed properties:
As for the final energy: -0.1899 Ha/atom. The value obtained for the total magnetization is 0.048 μB/atom. The value obtained for the formation energy is 95.7 kJ per mole of atoms. Its space-group type is I-42d.

Unit cell a=5.622 b=5.622 c=5.622 alpha=102.42 beta=102.42 gamma=124.74
Element x y z (fractional)
Cr1 0.000 0.000 0.000
Cr2 0.750 0.250 0.500
Fe1 0.250 0.750 0.500
Fe2 0.500 0.500 0.000
Au1 0.131 0.125 0.506
Au2 0.375 0.869 0.994
Au3 0.619 0.625 0.494
Au4 0.875 0.381 0.006


Compound: HgAsI3
Source: Alexandria
Functional: GGA-PBE
Structure: optimized geometry

Computed properties:
As for the final energy: -0.0695 Ha/atom. The value obtained for the total magnetization is 0.000 μB/atom. For the energy above the lowest structure with this stoichiometry, the calculation gives 0.96 eV per formula unit. Its space-group type is Pm-3m. The calculation puts the energy relative to the elements, uncorrected at 0.028 eV/atom.

Unit cell a=5.753 b=5.753 c=5.753 alpha=90.00 beta=90.00 gamma=90.00
Element x y z (fractional)
Hg1 0.000 0.000 0.000
As1 0.500 0.500 0.500
I1 0.000 0.500 0.500
I2 0.500 0.000 0.500
I3 0.500 0.500 0.000


Going through the records in order, we get calculated density values of 12.88, 5.72 g/cm3.